A relaxed structure of Dy2Y3Al3. Source: the Alexandria database, functional PBE.

The value obtained for the total magnetization is 0.00 μB/cell. As for the formation energy: -314.4 meV per atom. The calculated density comes out at 5.458 Mg/m³.

The space group is Immm (No. 71) and the conventional cell measures 3.673, 5.154 and 21.624 Å, with angles of 90.00, 90.00 and 90.00 degrees. The asymmetric unit holds Dy at (0.000, 0.000, 0.230), Y at (0.000, 0.000, 0.000), Y at (0.000, 0.500, 0.120), Al at (0.000, 0.000, 0.500) and Al at (0.000, 0.500, 0.384).